MgCu2Pd4 after structural relaxation. Source: Alexandria, functional PBE.

Values from the calculation:
energy relative to the elements	-101	kJ/mol of formula units
density of states at the Fermi level	10.568	states/eV per cell
uncorrected energy	-63.22	eV/cell

Lattice parameters (Å, degrees): 6.1852 6.1852 5.7462 90.00 90.00 90.00
Space group I4/mmm (No. 139)
One atom of each set of equivalent atoms:
Mg 0.0000 0.0000 0.0000
Cu 0.0000 0.5000 0.0000
Pd 0.2500 0.2500 0.2500